LiV2F7: relaxed, GGA+U.

Results
The value obtained for the energy above the most stable polymorph in this dataset is 0.0 kJ/mol of atoms.

a = 17.5403 Å, b = 4.9050 Å, c = 5.6130 Å
α = 90.00°, β = 92.07°, γ = 90.00°
Space group C2/c (No. 15)
Symmetry-distinct sites (fractional):
Li 0.2500 0.2500 0.0000 x4
V 0.1056 0.2446 0.2927 x8
F 0.0000 0.3876 0.2500 x4
F 0.0740 0.0637 0.5936 x8
F 0.1394 0.4387 0.9897 x8
F 0.2062 0.0935 0.3023 x8

LiVF3: relaxed, GGA+U.

Results
The value obtained for the energy above the most stable polymorph in this dataset is 1.4 kJ/mol of atoms.

a = 5.5684 Å, b = 9.3552 Å, c = 5.2946 Å
α = 90.00°, β = 114.98°, γ = 90.00°
Space group C2/m (No. 12)
Symmetry-distinct sites (fractional):
Li 0.1473 0.0000 0.3464 x4
V 0.0000 0.3317 0.0000 x4
F 0.2413 0.3346 0.7799 x8
F 0.2443 0.0000 0.7459 x4

Li4VF7: relaxed, GGA+U.

Results
The value obtained for the energy above the most stable polymorph in this dataset is 0.5 kJ/mol of atoms.

a = 8.4540 Å, b = 8.4540 Å, c = 8.4540 Å
α = 90.00°, β = 90.00°, γ = 90.00°
Space group F-43m (No. 216)
Symmetry-distinct sites (fractional):
Li 0.1239 0.1239 0.1239 x16
V 0.2500 0.2500 0.7500 x4
F 0.0000 0.0000 0.0000 x4
F 0.0135 0.2500 0.7500 x24

Li2VF4: relaxed, GGA+U.

Results
The value obtained for the energy above the most stable polymorph in this dataset is 8.2 kJ/mol of atoms.

a = 5.8793 Å, b = 8.7350 Å, c = 3.1261 Å
α = 90.00°, β = 90.00°, γ = 90.00°
Space group Cmmm (No. 65)
Symmetry-distinct sites (fractional):
Li 0.2500 0.2500 0.0000 x4
V 0.0000 0.0000 0.5000 x2
F 0.0000 0.2389 0.5000 x4
F 0.2355 0.0000 0.0000 x4

LiVF3: relaxed, GGA+U.

Results
The value obtained for the energy above the most stable polymorph in this dataset is 3.3 kJ/mol of atoms.

a = 5.7107 Å, b = 19.2315 Å, c = 9.3688 Å
α = 90.00°, β = 90.00°, γ = 90.00°
Space group Pbca (No. 61)
Symmetry-distinct sites (fractional):
Li 0.0507 0.2237 0.1722 x8
Li 0.1695 0.5380 0.3308 x8
V 0.1675 0.6199 0.6571 x8
V 0.1749 0.6207 0.0213 x8
F 0.0009 0.1739 0.6637 x8
F 0.0093 0.1767 0.9952 x8
F 0.1307 0.6953 0.1789 x8
F 0.1546 0.0559 0.1660 x8
F 0.1560 0.0705 0.4898 x8
F 0.1687 0.0661 0.8341 x8

LiVF5: relaxed, GGA+U.

Results
The value obtained for the energy above the most stable polymorph in this dataset is 2.7 kJ/mol of atoms.

a = 5.8087 Å, b = 8.6442 Å, c = 9.3490 Å
α = 90.00°, β = 128.03°, γ = 90.00°
Space group P2_1/c (No. 14)
Symmetry-distinct sites (fractional):
Li 0.1890 0.0232 0.3280 x4
V 0.4364 0.1378 0.0765 x4
F 0.0818 0.1343 0.8527 x4
F 0.1976 0.6046 0.2160 x4
F 0.2764 0.1494 0.1959 x4
F 0.3963 0.5922 0.5531 x4
F 0.4699 0.1452 0.5612 x4

LiVF5: relaxed, GGA+U.

Results
The value obtained for the energy above the most stable polymorph in this dataset is 0.6 kJ/mol of atoms.

a = 7.6114 Å, b = 7.4462 Å, c = 6.6739 Å
α = 90.00°, β = 90.00°, γ = 90.00°
Space group Pnma (No. 62)
Symmetry-distinct sites (fractional):
Li 0.1222 0.2500 0.1992 x4
V 0.1224 0.7500 0.2574 x4
F 0.0727 0.7500 0.9822 x4
F 0.1233 0.5060 0.2632 x8
F 0.1287 0.2500 0.6797 x4
F 0.1712 0.7500 0.5338 x4

LiV6F13: relaxed, GGA+U.

Results
Its calculated total energy is -6.16 eV per atom.

a = 8.1124 Å, b = 8.1396 Å, c = 10.2215 Å
α = 75.80°, β = 75.78°, γ = 62.19°
Space group P-1 (No. 2)
Symmetry-distinct sites (fractional):
Li 0.2406 0.1707 0.0511 x2
V 0.0564 0.5589 0.2405 x2
V 0.1523 0.0822 0.5022 x2
V 0.2789 0.6330 0.5018 x2
V 0.3902 0.1665 0.7437 x2
V 0.4142 0.7169 0.0202 x2
V 0.4881 0.2619 0.2752 x2
F 0.0140 0.6606 0.6214 x2
F 0.1169 0.9011 0.3990 x2
F 0.1545 0.7454 0.1186 x2
F 0.1654 0.2417 0.6345 x2
F 0.1666 0.3312 0.8808 x2
F 0.2612 0.4778 0.3712 x2
F 0.2978 0.3274 0.1322 x2
F 0.2991 0.8112 0.6122 x2
F 0.3265 0.9401 0.8554 x2
F 0.4134 0.9140 0.1214 x2
F 0.4137 0.0439 0.3804 x2
F 0.4319 0.5513 0.8767 x2
F 0.4577 0.3835 0.6155 x2

LiV2F7: relaxed, GGA+U.

Results
The value obtained for the energy above the most stable polymorph in this dataset is 2.3 kJ/mol of atoms.

a = 7.5278 Å, b = 10.7546 Å, c = 7.1154 Å
α = 90.00°, β = 90.00°, γ = 90.00°
Space group Imma (No. 74)
Symmetry-distinct sites (fractional):
Li 0.0000 0.0000 0.0000 x4
V 0.0000 0.0000 0.5000 x4
V 0.2500 0.2500 0.2500 x4
F 0.0000 0.0507 0.7560 x8
F 0.0000 0.2500 0.1554 x4
F 0.1976 0.1206 0.4364 x16

LiVF5: relaxed, GGA+U.

Results
The value obtained for the energy above the most stable polymorph in this dataset is 8.5 kJ/mol of atoms.

a = 9.4309 Å, b = 5.3184 Å, c = 8.3198 Å
α = 90.00°, β = 90.00°, γ = 90.00°
Space group Pnma (No. 62)
Symmetry-distinct sites (fractional):
Li 0.0233 0.2500 0.1882 x4
V 0.2071 0.2500 0.6148 x4
F 0.1135 0.0119 0.7362 x8
F 0.1187 0.2500 0.4278 x4
F 0.1479 0.5167 0.1014 x8

Li5VF8: relaxed, GGA+U.

Results
The value obtained for the energy above the most stable polymorph in this dataset is 0.8 kJ/mol of atoms.

a = 5.7673 Å, b = 5.9149 Å, c = 8.6779 Å
α = 90.00°, β = 90.00°, γ = 90.00°
Space group Immm (No. 71)
Symmetry-distinct sites (fractional):
Li 0.0000 0.0000 0.0000 x2
Li 0.2500 0.2500 0.2500 x8
V 0.0000 0.5000 0.0000 x2
F 0.0000 0.0000 0.2288 x4
F 0.0000 0.5000 0.2329 x4
F 0.2297 0.2613 0.0000 x8

D(E_F) readings, ordered: 0.00, 0.00, 43.01, 0.00, 0.00, 0.00, 0.00, 0.00, 0.00, 0.00, 0.00 states/eV per cell